Entry from Alexandria via LeMat-Bulk: Zr2TaCrMo after structural relaxation (PBE).

## Properties
* magnetization: 0.014 μB/atom
* energy relative to the elements: 1489 meV/atom
* crystal system: tetragonal

```
data_Zr2TaCrMo
_space_group_name_H-M_alt 'P 1'
_space_group_IT_number 1
_space_group_name_Hall 'P 1'
_cell_length_a 4.976
_cell_length_b 4.780
_cell_length_c 4.976
_cell_angle_alpha 90.00
_cell_angle_beta 90.00
_cell_angle_gamma 90.00
loop_
_atom_site_label
_atom_site_type_symbol
_atom_site_fract_x
_atom_site_fract_y
_atom_site_fract_z
_atom_site_occupancy
Cr1 Cr 0.500 0.500 0.500 1
Mo1 Mo 0.000 0.000 0.000 1
Zr1 Zr 0.000 0.000 0.500 1
Zr2 Zr 0.500 0.000 0.000 1
Ta1 Ta 0.000 0.500 0.000 1
```

=====

Entry from Alexandria via LeMat-Bulk: CrTc2Mo after structural relaxation (PBE).

## Properties
* magnetization: 0.001 μB/atom
* energy relative to the elements: 213 meV/atom
* crystal system: tetragonal

```
data_CrTc2Mo
_space_group_name_H-M_alt 'P 1'
_space_group_IT_number 1
_space_group_name_Hall 'P 1'
_cell_length_a 2.737
_cell_length_b 2.737
_cell_length_c 7.655
_cell_angle_alpha 90.00
_cell_angle_beta 90.00
_cell_angle_gamma 90.00
loop_
_atom_site_label
_atom_site_type_symbol
_atom_site_fract_x
_atom_site_fract_y
_atom_site_fract_z
_atom_site_occupancy
Cr1 Cr 0.000 0.000 0.487 1
Mo1 Mo 0.500 0.500 0.735 1
Tc1 Tc 0.000 0.000 0.012 1
Tc2 Tc 0.500 0.500 0.266 1
```

=====

Entry from Alexandria via LeMat-Bulk: CrTc2Mo after structural relaxation (PBE).

## Properties
* magnetization: 0.000 μB/atom
* energy relative to the elements: 85 meV/atom
* crystal system: orthorhombic

```
data_CrTc2Mo
_space_group_name_H-M_alt 'P 1'
_space_group_IT_number 1
_space_group_name_Hall 'P 1'
_cell_length_a 5.063
_cell_length_b 5.063
_cell_length_c 5.063
_cell_angle_alpha 144.87
_cell_angle_beta 129.41
_cell_angle_gamma 63.09
loop_
_atom_site_label
_atom_site_type_symbol
_atom_site_fract_x
_atom_site_fract_y
_atom_site_fract_z
_atom_site_occupancy
Cr1 Cr 0.493 0.493 0.000 1
Mo1 Mo 0.263 0.763 0.500 1
Tc1 Tc 0.005 0.005 0.000 1
Tc2 Tc 0.739 0.239 0.500 1
```

=====

Entry from Alexandria via LeMat-Bulk: CrTcMo2 after structural relaxation (PBE).

## Properties
* magnetization: 0.141 μB/atom
* energy relative to the elements: 78 meV/atom
* crystal system: orthorhombic
* distance to the lowest polymorph of the same formula: 34 meV per atom

```
data_CrTcMo2
_space_group_name_H-M_alt 'P 1'
_space_group_IT_number 1
_space_group_name_Hall 'P 1'
_cell_length_a 3.089
_cell_length_b 4.364
_cell_length_c 4.342
_cell_angle_alpha 90.00
_cell_angle_beta 90.00
_cell_angle_gamma 90.00
loop_
_atom_site_label
_atom_site_type_symbol
_atom_site_fract_x
_atom_site_fract_y
_atom_site_fract_z
_atom_site_occupancy
Cr1 Cr 0.000 0.500 0.500 1
Mo1 Mo 0.000 0.000 0.000 1
Mo2 Mo 0.500 0.500 0.000 1
Tc1 Tc 0.500 0.000 0.500 1
```

=====

Entry from Alexandria via LeMat-Bulk: CrTcMo2 after structural relaxation (PBE).

## Properties
* magnetization: 0.000 μB/atom
* energy relative to the elements: 63 meV/atom
* crystal system: tetragonal
* distance to the lowest polymorph of the same formula: 20 meV per atom

```
data_CrTcMo2
_space_group_name_H-M_alt 'P 1'
_space_group_IT_number 1
_space_group_name_Hall 'P 1'
_cell_length_a 3.078
_cell_length_b 3.078
_cell_length_c 6.164
_cell_angle_alpha 90.00
_cell_angle_beta 90.00
_cell_angle_gamma 90.00
loop_
_atom_site_label
_atom_site_type_symbol
_atom_site_fract_x
_atom_site_fract_y
_atom_site_fract_z
_atom_site_occupancy
Cr1 Cr 0.500 0.500 0.759 1
Mo1 Mo 0.000 0.000 0.983 1
Mo2 Mo 0.500 0.500 0.256 1
Tc1 Tc 0.000 0.000 0.502 1
```

=====

Entry from Alexandria via LeMat-Bulk: Cr2Tc2Mo after structural relaxation (PBE).

## Properties
* magnetization: 0.000 μB/atom
* energy relative to the elements: 229 meV/atom
* crystal system: tetragonal

```
data_Cr2Tc2Mo
_space_group_name_H-M_alt 'P 1'
_space_group_IT_number 1
_space_group_name_Hall 'P 1'
_cell_length_a 7.009
_cell_length_b 7.009
_cell_length_c 2.845
_cell_angle_alpha 90.00
_cell_angle_beta 90.00
_cell_angle_gamma 90.00
loop_
_atom_site_label
_atom_site_type_symbol
_atom_site_fract_x
_atom_site_fract_y
_atom_site_fract_z
_atom_site_occupancy
Cr1 Cr 0.356 0.856 0.000 1
Cr2 Cr 0.856 0.644 0.000 1
Cr3 Cr 0.644 0.144 0.000 1
Cr4 Cr 0.144 0.356 0.000 1
Mo1 Mo 0.000 0.000 0.000 1
Mo2 Mo 0.500 0.500 0.000 1
Tc1 Tc 0.158 0.658 0.500 1
Tc2 Tc 0.658 0.842 0.500 1
Tc3 Tc 0.842 0.342 0.500 1
Tc4 Tc 0.342 0.158 0.500 1
```

=====

What is the formula in the fifth record? CrTcMo2